[1]
ScAlHg2 after structural relaxation. Source: Alexandria via LeMat-Bulk, functional PBE.

## Properties
Crystal system: tetragonal
Total energy, eV per cell: -11.6
Symmetry: P4/mmm (123)

Geometry as extended XYZ:
```
4
Lattice="4.302 0.000 0.000 0.000 4.360 0.000 0.000 0.000 4.360" Properties=species:S:1:pos:R:3 pbc="T T T"
Sc 2.151 2.180 0.000
Hg 0.000 0.000 0.000
Hg 0.000 2.180 2.180
Al 2.151 0.000 2.180
```

---

[2]
ScAlHg after structural relaxation. Source: Alexandria via LeMat-Bulk, functional PBE.

## Properties
Crystal system: monoclinic
Total energy, eV per cell: -22.8
Symmetry: P2_1/m (11)
Polymorph energy (0 for the lowest one), meV/atom: 43

Geometry as extended XYZ:
```
6
Lattice="-2.094 3.904 -0.640 -2.461 -1.564 -1.488 -5.047 -1.640 6.504" Properties=species:S:1:pos:R:3 pbc="T T T"
Sc -2.245 -1.115 -0.291
Sc -6.683 -0.428 2.762
Hg -3.662 -1.430 2.420
Hg -2.804 1.452 1.539
Al -6.589 0.097 5.656
Al -4.925 -1.716 4.806
```

---

[3]
Sc6AlHg after structural relaxation. Source: Alexandria via LeMat-Bulk, functional PBE.

## Properties
Crystal system: tetragonal
Total energy, eV per cell: -43.9
Symmetry: P4/mmm (123)
Polymorph energy (0 for the lowest one), meV/atom: 0

Geometry as extended XYZ:
```
8
Lattice="-2.106 -3.643 1.435 3.897 -1.794 1.167 -0.756 3.625 8.096" Properties=species:S:1:pos:R:3 pbc="T T T"
Sc 0.896 -2.718 1.301
Sc 0.518 -0.906 5.349
Sc -1.246 -0.899 2.778
Sc -1.616 0.881 6.752
Sc 1.756 0.026 2.645
Sc 1.385 1.806 6.618
Al -0.378 1.813 4.048
Hg 0.000 0.000 0.000
```

---

[4]
Sc2AlHg after structural relaxation. Source: Alexandria via LeMat-Bulk, functional PBE.

## Properties
Crystal system: tetragonal
Total energy, eV per cell: -18.5
Symmetry: P4/mmm (123)

Geometry as extended XYZ:
```
4
Lattice="3.238 0.003 0.000 -0.004 3.238 0.000 0.000 0.000 7.845" Properties=species:S:1:pos:R:3 pbc="T T T"
Sc 0.000 0.000 0.078
Sc 0.000 0.000 3.844
Hg 1.617 1.621 5.884
Al 1.617 1.621 1.961
```

---

[5]
ScAlHg3 after structural relaxation. Source: Alexandria via LeMat-Bulk, functional PBE.

## Properties
Crystal system: cubic
Total energy, eV per cell: -9.6
Symmetry: Pm-3m (221)
Polymorph energy (0 for the lowest one), meV/atom: 0

Geometry as extended XYZ:
```
5
Lattice="5.062 0.000 0.000 0.000 5.062 0.000 0.000 0.000 5.062" Properties=species:S:1:pos:R:3 pbc="T T T"
Sc 2.531 2.531 2.531
Hg 0.000 2.531 0.000
Hg 0.000 0.000 2.531
Hg 2.531 0.000 0.000
Al 0.000 0.000 0.000
```

---

[6]
Sc2AlHg after structural relaxation. Source: Alexandria via LeMat-Bulk, functional PBE.

## Properties
Crystal system: monoclinic
Total energy, eV per cell: -17.7
Symmetry: P2/m (10)

Geometry as extended XYZ:
```
4
Lattice="3.360 0.000 0.000 0.000 5.776 0.000 0.000 3.876 4.563" Properties=species:S:1:pos:R:3 pbc="T T T"
Sc 0.000 0.000 0.000
Sc 1.680 2.888 0.000
Hg 0.000 1.938 2.282
Al 1.680 4.826 2.281
```

---

[7]
Sc2AlHg after structural relaxation. Source: Alexandria via LeMat-Bulk, functional PBE.

## Properties
Crystal system: orthorhombic
Total energy, eV per cell: -36.7
Symmetry: Cmcm (63)

Geometry as extended XYZ:
```
8
Lattice="-3.532 -0.132 -3.251 3.996 0.972 -4.381 -0.403 -5.957 0.679" Properties=species:S:1:pos:R:3 pbc="T T T"
Sc -0.489 -4.679 -4.598
Sc -2.285 -2.189 -2.749
Sc 0.551 -0.438 -2.354
Sc 2.346 -2.928 -4.203
Al 0.365 -3.390 -2.032
Al -0.303 -1.727 -4.920
Hg 2.515 -0.003 -4.506
Hg -2.453 -5.114 -2.447
```

---

[8]
Sc2AlHg4 after structural relaxation. Source: Alexandria via LeMat-Bulk, functional PBE.

## Properties
Crystal system: trigonal
Total energy, eV per cell: -18.9
Symmetry: R-3m (166)

Geometry as extended XYZ:
```
7
Lattice="4.701 0.000 1.469 2.121 4.195 1.469 0.124 0.076 7.862" Properties=species:S:1:pos:R:3 pbc="T T T"
Sc 5.027 3.091 8.683
Sc 1.919 1.180 2.116
Al 0.000 0.000 0.000
Hg 5.940 3.653 5.761
Hg 1.006 0.618 5.039
Hg 4.046 2.488 3.565
Hg 2.900 1.783 7.234
```

---

[9]
ScAlHg after structural relaxation. Source: Alexandria via LeMat-Bulk, functional PBE.

## Properties
Crystal system: orthorhombic
Total energy, eV per cell: -22.7
Symmetry: Cmmm (65)
Polymorph energy (0 for the lowest one), meV/atom: 70

Geometry as extended XYZ:
```
6
Lattice="4.408 0.000 0.000 0.000 4.217 0.015 0.000 2.089 6.616" Properties=species:S:1:pos:R:3 pbc="T T T"
Sc 4.124 3.279 1.623
Sc 4.124 5.382 3.944
Hg 1.920 5.375 6.091
Hg 4.123 3.266 6.083
Al 1.920 3.273 3.669
Al 1.920 1.171 1.883
```

---

[10]
ScAlHg2 after structural relaxation. Source: Alexandria via LeMat-Bulk, functional PBE.

## Properties
Crystal system: tetragonal
Total energy, eV per cell: -21.4
Symmetry: I-42d (122)

Geometry as extended XYZ:
```
8
Lattice="4.355 0.000 0.000 0.000 4.355 0.000 2.178 2.178 9.817" Properties=species:S:1:pos:R:3 pbc="T T T"
Sc 0.000 0.000 0.000
Sc 4.355 2.178 4.908
Hg 3.205 1.089 2.454
Hg 1.150 3.266 2.454
Hg 3.266 3.327 7.363
Hg 5.444 5.383 7.363
Al 2.178 2.178 0.000
Al 2.178 4.355 4.908
```

---

[11]
Sc2AlHg after structural relaxation. Source: Alexandria via LeMat-Bulk, functional PBE.

## Properties
Crystal system: tetragonal
Total energy, eV per cell: -18.3
Symmetry: P4/mmm (123)

Geometry as extended XYZ:
```
4
Lattice="4.467 0.000 0.000 0.000 4.467 0.000 0.000 0.000 4.114" Properties=species:S:1:pos:R:3 pbc="T T T"
Sc 0.000 0.000 0.000
Sc 2.233 2.233 0.000
Hg 0.000 2.233 2.057
Al 2.233 0.000 2.057
```

---

[12]
ScAlHg2 after structural relaxation. Source: Alexandria via LeMat-Bulk, functional PBE.

## Properties
Crystal system: monoclinic
Total energy, eV per cell: -11.4
Symmetry: C2/m (12)

Geometry as extended XYZ:
```
4
Lattice="5.055 -0.014 0.037 3.894 3.223 0.037 1.088 0.390 5.220" Properties=species:S:1:pos:R:3 pbc="T T T"
Sc 7.528 2.699 3.970
Hg 8.923 3.199 0.098
Hg 5.045 1.809 2.623
Al 2.509 0.900 1.323
```

---

Repeat the fourth record exactly.
Sc2AlHg after structural relaxation. Source: Alexandria via LeMat-Bulk, functional PBE.

## Properties
Crystal system: tetragonal
Total energy, eV per cell: -18.5
Symmetry: P4/mmm (123)

Geometry as extended XYZ:
```
4
Lattice="3.238 0.003 0.000 -0.004 3.238 0.000 0.000 0.000 7.845" Properties=species:S:1:pos:R:3 pbc="T T T"
Sc 0.000 0.000 0.078
Sc 0.000 0.000 3.844
Hg 1.617 1.621 5.884
Al 1.617 1.621 1.961
```